Material: SnBi6Pb12
Method: DFT, GGA-PBE
State: optimized geometry

Computed properties:
DFT formation energy	7	kJ/mol of atoms
volume	32.6	Å³ per atom

Structure (extended XYZ):
```
19
Lattice="-7.0386 -3.1776 -3.6191 3.5089 -7.7578 0.4901 -3.3828 -0.8034 7.7877" Properties=species:S:1:pos:R:3 pbc="T T T"
Sn 0.0000 0.0000 0.0000
Bi -3.9908 -2.4671 4.7931
Bi -7.6554 -5.3974 2.6040
Bi -2.2693 -7.1466 6.1883
Bi -2.9217 -9.2717 -0.1343
Bi 0.7429 -6.3414 2.0547
Bi -4.6432 -4.5921 -1.5295
Pb -4.8314 -3.6670 1.7496
Pb -1.6081 -4.7261 3.8638
Pb -2.0237 -5.9789 0.0904
Pb -2.0812 -8.0717 2.9091
Pb -5.3045 -7.0127 0.7950
Pb -4.8888 -5.7599 4.5684
Pb -5.9627 -10.1984 1.7763
Pb -3.0334 -1.5319 -0.1877
Pb 0.1738 -3.3966 -0.1274
Pb -0.9498 -1.5404 2.8824
Pb -3.8792 -10.2069 4.8464
Pb -7.0864 -8.3422 4.7861
```